First-principles (GGA-PBE) data for Cu7Ag2 after structural relaxation, as listed in OQMD via LeMat-Bulk.

Structure (extended XYZ):
```
9
Lattice="12.355 -0.938 0.039 11.852 3.154 -1.759 -11.971 -0.821 3.086" Properties=species:S:1:pos:R:3 pbc="T T T"
Ag 10.643 0.974 -0.756
Ag 13.564 1.242 -0.963
Cu 0.000 0.000 0.000
Cu 2.945 0.270 -0.209
Cu 5.431 0.497 -0.386
Cu 7.931 0.726 -0.563
Cu 16.276 1.490 -1.156
Cu 18.776 1.719 -1.334
Cu 21.262 1.946 -1.510
```

## Properties
SG = Immm (71)
Energy relative to the elements = 67 meV/atom
Volume = 13.12 Å³/atom
Polymorph energy (0 for the lowest one) = 0.0204 eV/atom

---

First-principles (GGA-PBE) data for Cu3Ag2 after structural relaxation, as listed in OQMD via LeMat-Bulk.

Structure (extended XYZ):
```
10
Lattice="2.330 -6.961 0.000 2.330 6.961 0.000 -1.389 0.000 4.423" Properties=species:S:1:pos:R:3 pbc="T T T"
Ag 2.330 4.099 0.000
Ag 1.636 -2.876 2.211
Ag 1.636 0.096 2.211
Ag 1.636 5.639 2.211
Cu 2.330 -6.848 0.000
Cu 2.330 -4.344 0.000
Cu 2.330 -1.301 0.000
Cu 2.330 1.398 0.000
Cu 1.636 -5.518 2.211
Cu 1.636 2.696 2.211
```

## Properties
SG = C2 (5)
Energy relative to the elements = 100 meV/atom
Volume = 14.35 Å³/atom
Polymorph energy (0 for the lowest one) = 0.0581 eV/atom

---

First-principles (GGA-PBE) data for CuAg after structural relaxation, as listed in OQMD via LeMat-Bulk.

Structure (extended XYZ):
```
10
Lattice="2.843 0.000 0.000 0.000 3.556 0.000 0.000 0.000 14.780" Properties=species:S:1:pos:R:3 pbc="T T T"
Ag 0.000 0.000 1.460
Ag 1.421 1.778 3.205
Ag 0.000 0.000 7.390
Ag 1.421 1.778 11.576
Ag 0.000 0.000 13.321
Cu 1.421 1.778 0.000
Cu 0.000 0.000 4.692
Cu 1.421 1.778 5.907
Cu 1.421 1.778 8.874
Cu 0.000 0.000 10.088
```

## Properties
SG = Pmmm (47)
Energy relative to the elements = 89 meV/atom
Volume = 14.94 Å³/atom

---

First-principles (GGA-PBE) data for Cu4Ag5 after structural relaxation, as listed in OQMD via LeMat-Bulk.

Structure (extended XYZ):
```
9
Lattice="7.115 -1.419 0.000 7.115 1.419 0.000 -0.461 0.000 6.823" Properties=species:S:1:pos:R:3 pbc="T T T"
Ag 13.318 0.000 1.044
Ag 3.763 0.000 1.225
Ag 6.884 0.000 3.412
Ag 10.005 0.000 5.598
Ag 0.450 0.000 5.779
Cu 8.591 0.000 1.279
Cu 2.173 0.000 3.372
Cu 11.596 0.000 3.451
Cu 5.178 0.000 5.544
```

## Properties
SG = C2/m (12)
Energy relative to the elements = 93 meV/atom
Volume = 15.31 Å³/atom
Polymorph energy (0 for the lowest one) = 0.0555 eV/atom

---

First-principles (GGA-PBE) data for Cu3Ag5 after structural relaxation, as listed in OQMD via LeMat-Bulk.

Structure (extended XYZ):
```
8
Lattice="1.049 -18.255 1.248 1.126 -18.225 -1.582 3.525 -17.986 -0.098" Properties=species:S:1:pos:R:3 pbc="T T T"
Ag 0.000 0.000 0.000
Ag 0.722 -6.897 -0.055
Ag 1.436 -13.721 -0.109
Ag 4.264 -40.745 -0.323
Ag 4.978 -47.569 -0.377
Cu 2.133 -20.385 -0.161
Cu 2.850 -27.233 -0.216
Cu 3.567 -34.081 -0.270
```

## Properties
SG = R-3m (166)
Energy relative to the elements = 95 meV/atom
Volume = 15.84 Å³/atom
Polymorph energy (0 for the lowest one) = 0.0584 eV/atom

---

First-principles (GGA-PBE) data for Cu7Ag2 after structural relaxation, as listed in OQMD via LeMat-Bulk.

Structure (extended XYZ):
```
9
Lattice="-0.214 -1.367 2.293 0.941 -1.209 -2.197 17.896 5.228 4.791" Properties=species:S:1:pos:R:3 pbc="T T T"
Ag 7.927 0.951 2.873
Ag 10.696 1.701 2.015
Cu 0.000 0.000 0.000
Cu 2.054 -0.764 1.300
Cu 4.324 -0.161 0.308
Cu 5.634 1.646 1.508
Cu 12.262 3.582 3.283
Cu 14.299 2.813 4.579
Cu 16.569 3.416 3.587
```

## Properties
SG = P-3m1 (164)
Energy relative to the elements = 82 meV/atom
Volume = 13.29 Å³/atom
Polymorph energy (0 for the lowest one) = 0.0359 eV/atom